The following is a PBE calculation of a geometry-optimized KBeRu2 structure, from Alexandria via LeMat-Bulk.

Values from the calculation:
**Formation energy**: 1.13 eV/atom

Structure (CIF):
```
data_KBeRu2
_space_group_name_H-M_alt 'I -4 2 d'
_space_group_IT_number 122
_space_group_name_Hall 'I -4 2bw'
_cell_length_a 4.4223
_cell_length_b 4.4223
_cell_length_c 16.8015
_cell_angle_alpha 90.00
_cell_angle_beta 90.00
_cell_angle_gamma 90.00
loop_
_atom_site_label
_atom_site_fract_x
_atom_site_fract_y
_atom_site_fract_z
K1 0.0000 0.0000 0.0000
Be1 0.0000 0.0000 0.5000
Ru1 0.1022 0.7500 0.6250
```